Density functional theory data (GGA-PBE) for crystalline K3Nd2NpTe6 at its relaxed geometry.

POSCAR file:
```
K3Nd2NpTe6
1.0
3.996 -6.903 0.000
3.996 6.903 0.000
-2.648 0.000 8.244
K Nd Np Te
3 2 1 6
Cartesian
0.000 0.000 0.000
3.996 2.322 0.000
3.996 -2.322 0.000
2.672 4.612 4.122
2.672 -4.612 4.122
2.672 0.000 4.122
1.347 2.276 2.363
0.036 0.000 5.887
1.347 -2.276 2.363
3.997 2.276 5.881
5.308 0.000 2.357
3.997 -2.276 5.881
```

Output
- DOS at the Fermi energy: 0.4469 states/eV per atom
- Symmetry: C2/m
- E_form (uncorrected): -1.24 eV per atom

---

Density functional theory data (GGA-PBE) for crystalline TiCo2Se2 at its relaxed geometry.

POSCAR file:
```
TiCo2Se2
1.0
6.589 0.000 0.000
0.000 6.589 0.000
0.000 0.000 3.339
Ti Co Se
2 4 4
Cartesian
0.000 0.000 0.000
3.295 3.295 0.000
0.826 2.469 0.000
2.469 5.763 0.000
4.120 0.826 0.000
5.763 4.120 0.000
1.210 4.505 1.669
2.084 1.210 1.669
4.505 5.379 1.669
5.379 2.084 1.669
```

Output
- DOS at the Fermi energy: 1.3205 states/eV per atom
- Symmetry: P4/mbm
- E_form (uncorrected): -0.09 eV per atom

---

Density functional theory data (GGA-PBE) for crystalline Zn2IBr8 at its relaxed geometry.

POSCAR file:
```
Zn2IBr8
1.0
6.213 -4.278 0.000
6.213 4.278 0.000
-2.527 0.000 8.508
Zn I Br
2 1 8
Cartesian
2.078 0.000 3.065
7.822 0.000 5.444
0.000 0.000 0.000
2.378 2.382 6.981
0.899 0.000 5.083
7.522 2.382 1.527
4.480 0.000 2.881
5.420 0.000 5.627
2.378 -2.382 6.981
9.001 0.000 3.425
7.522 -2.382 1.527
```

Output
- Symmetry: C2/m
- E_form (uncorrected): -0.39 eV per atom

---

Density functional theory data (GGA-PBE) for crystalline Cu2SnPd2 at its relaxed geometry.

POSCAR file:
```
Cu2SnPd2
1.0
7.086 0.000 0.000
0.000 7.086 0.000
0.000 0.000 3.204
Cu Sn Pd
4 2 4
Cartesian
1.075 2.468 0.000
2.468 6.011 0.000
4.618 1.075 0.000
6.011 4.618 0.000
0.000 0.000 1.602
3.543 3.543 1.602
1.008 4.551 1.602
2.535 1.008 1.602
4.551 6.078 1.602
6.078 2.535 1.602
```

Output
- E_form: -0.121 eV per atom
- DOS at the Fermi energy: 0.3168 states/eV per atom
- Symmetry: P4/mbm

---

Density functional theory data (GGA-PBE) for crystalline BeCoBiI2 at its relaxed geometry.

POSCAR file:
```
BeCoBiI2
1.0
6.349 0.000 0.000
0.000 6.349 0.000
0.000 0.000 4.734
Be Co Bi I
1 1 1 2
Cartesian
0.000 0.000 0.000
3.174 3.174 0.000
0.000 0.000 2.367
0.000 3.174 2.367
3.174 0.000 2.367
```

Output
- DOS at the Fermi energy: 1.8262 states/eV per atom
- Symmetry: P4/mmm
- E_form (uncorrected): 1.18 eV per atom

---

Density functional theory data (GGA-PBE) for crystalline PrEu3H at its relaxed geometry.

POSCAR file:
```
PrEu3H
1.0
5.348 0.000 0.000
0.000 5.348 0.000
0.000 0.000 5.348
Pr Eu H
1 3 1
Cartesian
0.000 0.000 0.000
0.000 2.674 2.674
2.674 0.000 2.674
2.674 2.674 0.000
2.674 2.674 2.674
```

Output
- DOS at the Fermi energy: 0.5273 states/eV per atom
- Final energy: -39.5 eV per cell
- Symmetry: Pm-3m